No. 1
! CaSmEuSn | the Alexandria database | PBE-GGA | relaxed; values from VASP
! calculated formation energy = -0.2874 eV/atom
&SYSTEM
  ibrav = 0, nat = 4, ntyp = 4
/
ATOMIC_SPECIES
Ca 40.08 Ca.upf
Sm 150.36 Sm.upf
Eu 151.96 Eu.upf
Sn 118.71 Sn.upf
CELL_PARAMETERS angstrom
0.000 3.961 3.961
3.961 0.000 3.961
3.961 3.961 0.000
ATOMIC_POSITIONS crystal
Ca 0.000 0.000 0.000
Sm 0.750 0.750 0.750
Eu 0.250 0.250 0.250
Sn 0.500 0.500 0.500



No. 2
! SrCaSmEu | the Alexandria database | PBE-GGA | relaxed; values from VASP
! calculated formation energy = 0.1197 eV/atom
&SYSTEM
  ibrav = 0, nat = 4, ntyp = 4
/
ATOMIC_SPECIES
Sr 87.62 Sr.upf
Ca 40.08 Ca.upf
Sm 150.36 Sm.upf
Eu 151.96 Eu.upf
CELL_PARAMETERS angstrom
0.000 4.357 4.357
4.357 0.000 4.357
4.357 4.357 0.000
ATOMIC_POSITIONS crystal
Sr 0.000 0.000 0.000
Ca 0.750 0.750 0.750
Sm 0.500 0.500 0.500
Eu 0.250 0.250 0.250



No. 3
! CaSmEuTl | the Alexandria database | PBE-GGA | relaxed; values from VASP
! calculated formation energy = -0.0726 eV/atom
&SYSTEM
  ibrav = 0, nat = 4, ntyp = 4
/
ATOMIC_SPECIES
Ca 40.08 Ca.upf
Sm 150.36 Sm.upf
Eu 151.96 Eu.upf
Tl 204.38 Tl.upf
CELL_PARAMETERS angstrom
0.000 4.008 4.008
4.008 0.000 4.008
4.008 4.008 0.000
ATOMIC_POSITIONS crystal
Ca 0.000 0.000 0.000
Sm 0.500 0.500 0.500
Eu 0.750 0.750 0.750
Tl 0.250 0.250 0.250



No. 4
! CaSmEuTm | the Alexandria database | PBE-GGA | relaxed; values from VASP
! calculated formation energy = 0.1416 eV/atom
&SYSTEM
  ibrav = 0, nat = 4, ntyp = 4
/
ATOMIC_SPECIES
Ca 40.08 Ca.upf
Sm 150.36 Sm.upf
Eu 151.96 Eu.upf
Tm 168.93 Tm.upf
CELL_PARAMETERS angstrom
0.000 4.147 4.147
4.147 0.000 4.147
4.147 4.147 0.000
ATOMIC_POSITIONS crystal
Ca 0.000 0.000 0.000
Sm 0.250 0.250 0.250
Eu 0.750 0.750 0.750
Tm 0.500 0.500 0.500



No. 5
! CaSmEuY | the Alexandria database | PBE-GGA | relaxed; values from VASP
! calculated formation energy = 0.1362 eV/atom
&SYSTEM
  ibrav = 0, nat = 4, ntyp = 4
/
ATOMIC_SPECIES
Ca 40.08 Ca.upf
Sm 150.36 Sm.upf
Eu 151.96 Eu.upf
Y 88.91 Y.upf
CELL_PARAMETERS angstrom
0.000 4.176 4.176
4.176 0.000 4.176
4.176 4.176 0.000
ATOMIC_POSITIONS crystal
Ca 0.000 0.000 0.000
Sm 0.250 0.250 0.250
Eu 0.750 0.750 0.750
Y 0.500 0.500 0.500



No. 6
! CaEuSn | the Alexandria database | PBE-GGA | relaxed; values from VASP
! calculated formation energy = -0.5712 eV/atom
&SYSTEM
  ibrav = 0, nat = 3, ntyp = 3
/
ATOMIC_SPECIES
Ca 40.08 Ca.upf
Eu 151.96 Eu.upf
Sn 118.71 Sn.upf
CELL_PARAMETERS angstrom
0.000 3.840 3.840
3.840 0.000 3.840
3.840 3.840 0.000
ATOMIC_POSITIONS crystal
Ca 0.000 0.000 0.000
Eu 0.500 0.500 0.500
Sn 0.250 0.250 0.250



No. 7
! CaEu2Sn | the Alexandria database | PBE-GGA | relaxed; values from VASP
! calculated formation energy = -0.4185 eV/atom
&SYSTEM
  ibrav = 0, nat = 4, ntyp = 3
/
ATOMIC_SPECIES
Ca 40.08 Ca.upf
Eu 151.96 Eu.upf
Sn 118.71 Sn.upf
CELL_PARAMETERS angstrom
5.073 0.000 0.000
0.000 5.073 0.000
0.000 0.000 5.071
ATOMIC_POSITIONS crystal
Ca 0.000 0.000 0.000
Eu 0.000 0.500 0.500
Eu 0.500 0.000 0.500
Sn 0.500 0.500 0.000



No. 8
! CaEuSn | the Alexandria database | PBE-GGA | relaxed; values from VASP
! calculated formation energy = 0.1536 eV/atom
&SYSTEM
  ibrav = 0, nat = 3, ntyp = 3
/
ATOMIC_SPECIES
Ca 40.08 Ca.upf
Eu 151.96 Eu.upf
Sn 118.71 Sn.upf
CELL_PARAMETERS angstrom
-1.734 1.734 9.452
1.734 -1.734 9.452
1.734 1.734 -9.452
ATOMIC_POSITIONS crystal
Ca 0.000 0.000 0.000
Eu 0.338 0.338 0.000
Sn 0.168 0.168 0.000